VASP calculation (PBE) on an optimized crystal structure of Y2PtPb.

Unit cell a=4.2192 b=4.2192 c=6.2311 alpha=90.00 beta=90.00 gamma=90.00
Element x y z (fractional)
Pt (0.5000, 0.5000, 0.8544)
Y (0.0000, 0.0000, 0.9168)
Y (0.5000, 0.5000, 0.3035)
Pb (0.0000, 0.0000, 0.4253)

The calculation puts the density of states at the Fermi level at 0.480 states/eV/atom. The calculation puts the volume at 111 Å³/f.u. For the energy relative to the elements, the calculation gives -0.61 eV/atom. Its total magnetization is 0.00 μB/atom. As for the density: 8.68 g cm⁻³. The space group is No. 99.

=====

VASP calculation (PBE) on an optimized crystal structure of ReRuSe2N.

Unit cell a=4.5572 b=3.7063 c=4.5572 alpha=90.00 beta=90.00 gamma=90.00
Element x y z (fractional)
N (0.0000, 0.0000, 0.0000)
Re (0.5000, 0.5000, 0.5000)
Se (0.0000, 0.0000, 0.5000)
Ru (0.0000, 0.5000, 0.0000)
Se (0.5000, 0.0000, 0.0000)

The calculation puts the density of states at the Fermi level at 0.945 states/eV/atom. The calculation puts the volume at 77 Å³/f.u. For the excess energy over the best structure of this formula in the dataset, the calculation gives 407 meV per atom. Its total magnetization is 0.00 μB/atom. As for the density: 9.91 g cm⁻³. The space group is No. 123. The formation energy from raw total energies is 1.28 eV per atom.

=====

VASP calculation (PBE) on an optimized crystal structure of NdHo3Tm6.

Unit cell a=9.7184 b=9.7184 c=6.8110 alpha=44.49 beta=44.49 gamma=60.00
Element x y z (fractional)
Tm (0.2352, 0.9019, 0.2970)
Tm (0.9019, 0.5660, 0.2970)
Tm (0.7318, 0.0693, 0.7969)
Tm (0.4020, 0.7318, 0.7969)
Nd (0.8994, 0.8994, 0.3018)
Tm (0.5660, 0.2352, 0.2970)
Ho (0.3988, 0.3988, 0.8037)
Ho (0.1504, 0.1504, 0.5487)
Ho (0.6452, 0.6452, 0.0643)
Tm (0.0693, 0.4020, 0.7969)

The calculation puts the density of states at the Fermi level at 2.027 states/eV/atom. The calculation puts the volume at 316 Å³/f.u. For the excess energy over the best structure of this formula in the dataset, the calculation gives 148 meV per atom. For the energy relative to the elements, the calculation gives 0.30 eV/atom. Its total magnetization is 0.00 μB/atom. As for the density: 8.69 g cm⁻³. The space group is No. 146.

=====

VASP calculation (PBE) on an optimized crystal structure of Ni2AuSe.

Unit cell a=4.4365 b=4.4365 c=4.8931 alpha=82.76 beta=82.76 gamma=39.95
Element x y z (fractional)
Ni (0.0113, 0.0113, 0.9513)
Se (0.4763, 0.4763, 0.6032)
Ni (0.7507, 0.7507, 0.7299)
Au (0.2617, 0.2617, 0.2156)

The calculation puts the density of states at the Fermi level at 0.934 states/eV/atom. The calculation puts the volume at 61 Å³/f.u. Its total magnetization is 0.00 μB/atom. As for the density: 10.66 g cm⁻³. The space group is No. 8. The formation energy from raw total energies is 0.11 eV per atom.

=====

VASP calculation (PBE) on an optimized crystal structure of MnTe2Os.

Unit cell a=3.8504 b=3.8531 c=6.6768 alpha=89.87 beta=90.00 gamma=90.00
Each line ends with the local moment (μB).
Element x y z (fractional)
Mn (0.0000, 0.3750, 0.6252)  2.98
Te (0.5000, 0.3761, 0.3529)  -0.07
Te (0.0000, 0.8738, 0.8970)  -0.07
Os (0.5000, 0.8751, 0.6249)  0.01

The calculation puts the density of states at the Fermi level at 0.693 states/eV/atom. The calculation puts the volume at 99 Å³/f.u. For the excess energy over the best structure of this formula in the dataset, the calculation gives 0 meV per atom. Its total magnetization is 0.73 μB/atom. As for the density: 8.39 g cm⁻³. The space group is No. 6. The formation energy from raw total energies is 0.08 eV per atom.

=====

VASP calculation (PBE) on an optimized crystal structure of NaCoS2Cl.

Unit cell a=4.3462 b=4.3462 c=5.6579 alpha=90.00 beta=90.00 gamma=90.00
Each line ends with the local moment (μB).
Element x y z (fractional)
Co (0.0000, 0.0000, 0.0000)  1.81
S (0.0000, 0.5000, 0.0000)  0.34
Na (0.5000, 0.5000, 0.5000)  0.00
Cl (0.0000, 0.0000, 0.5000)  0.12
S (0.5000, 0.0000, 0.0000)  0.34

The calculation puts the density of states at the Fermi level at 0.598 states/eV/atom. The calculation puts the volume at 107 Å³/f.u. For the excess energy over the best structure of this formula in the dataset, the calculation gives 0 meV per atom. Its total magnetization is 0.61 μB/atom. As for the density: 2.82 g cm⁻³. The space group is No. 123. The formation energy from raw total energies is -0.38 eV per atom.

=====

VASP calculation (PBE) on an optimized crystal structure of LiZn2B2Rh5.

Unit cell a=2.8789 b=9.2325 c=9.2325 alpha=90.00 beta=90.00 gamma=90.00
Element x y z (fractional)
Rh (0.5000, 0.2113, 0.0707)
B (0.0000, 0.3684, 0.1316)
Li (0.0000, 0.0000, 0.0000)
Zn (0.0000, 0.6772, 0.1772)
Rh (0.5000, 0.5707, 0.7113)
Rh (0.5000, 0.9293, 0.2113)
Rh (0.5000, 0.5000, 0.0000)
Li (0.0000, 0.5000, 0.5000)
Zn (0.0000, 0.1772, 0.3228)
Rh (0.5000, 0.4293, 0.2887)
Rh (0.5000, 0.2887, 0.5707)
Rh (0.5000, 0.0000, 0.5000)
Zn (0.0000, 0.3228, 0.8228)
Zn (0.0000, 0.8228, 0.6772)
B (0.0000, 0.1316, 0.6316)
B (0.0000, 0.6316, 0.8684)
Rh (0.5000, 0.0707, 0.7887)
Rh (0.5000, 0.7887, 0.9293)
B (0.0000, 0.8684, 0.3684)
Rh (0.5000, 0.7113, 0.4293)

The calculation puts the density of states at the Fermi level at 0.521 states/eV/atom. The calculation puts the volume at 123 Å³/f.u. For the energy relative to the elements, the calculation gives -0.34 eV/atom. Its total magnetization is 0.00 μB/atom. As for the density: 9.12 g cm⁻³. The space group is No. 127.

=====

VASP calculation (PBE) on an optimized crystal structure of NaMnCdCo2.

Unit cell a=4.4734 b=4.7802 c=4.4734 alpha=90.00 beta=90.00 gamma=90.00
Each line ends with the local moment (μB).
Element x y z (fractional)
Na (0.0000, 0.0000, 0.0000)  -0.04
Co (0.0000, 0.0000, 0.5000)  1.62
Cd (0.0000, 0.5000, 0.0000)  -0.06
Mn (0.5000, 0.5000, 0.5000)  4.07
Co (0.5000, 0.0000, 0.0000)  1.59

The calculation puts the density of states at the Fermi level at 1.613 states/eV/atom. The calculation puts the volume at 96 Å³/f.u. For the energy relative to the elements, the calculation gives 1.65 eV/atom. Its total magnetization is 1.42 μB/atom. As for the density: 5.35 g cm⁻³. The space group is No. 123.